Li3Si2BiO7 | SCAN | PBEsol geometry

Geometry as extended XYZ:
```
52
Lattice="-1.7560 -4.5381 1.0509 3.5966 -3.2863 -8.1813 11.1550 -2.9101 6.0728" Properties=species:S:1:pos:R:3 pbc="T T T"
Si 3.7753 -4.0588 1.1864
Si 4.7870 -7.7347 -2.4335
Si 11.6754 -7.3163 -0.9074
Si 8.2085 -2.9999 1.3759
Si 2.3318 -7.0942 -3.7701
Si 1.3201 -3.4183 -0.1502
Si 10.6637 -3.6404 2.7125
Si 9.2202 -6.6758 -2.2440
O 2.4911 -2.9780 0.9865
O 9.8470 -5.3031 -2.8767
O 6.9518 -4.1529 -4.7620
O 2.1065 -3.5540 -1.5914
O 4.5512 -3.5267 -6.0689
O 7.2077 -3.9118 -2.1805
O 4.9287 -3.5109 2.1978
O 8.0668 -7.2236 -3.2554
O 10.2685 -5.2247 2.8183
O 5.7878 -6.8227 1.1230
O 2.7270 -5.5098 -3.8759
O 8.1419 -7.5714 2.3843
O 3.1485 -5.4314 1.8192
O 8.4443 -7.2079 5.0113
O 0.5822 -4.7619 0.4221
O 4.8536 -3.1631 -3.4418
O 8.4884 -6.5543 -0.7731
O 12.8103 -8.4611 -0.6730
O 10.5313 -8.0602 3.7054
O 7.7023 -4.5552 1.4213
O 5.2932 -6.1793 -2.4788
O 0.1852 -2.2734 -0.3846
O 10.8890 -7.1805 0.5338
O 12.4133 -5.9726 -1.4796
O 2.4642 -2.6743 -4.7629
O 10.5044 -7.7565 -2.0441
O 6.0437 -6.5816 3.7044
O 4.5071 -4.1803 -0.2845
Bi 5.5775 -1.4551 3.0364
Bi 6.4977 -5.3673 -0.5288
Bi 0.0000 0.0000 0.0000
Bi 0.9203 -3.9122 -3.5652
Li 6.6849 -5.9034 -3.7280
Li 9.1558 -6.1671 1.1949
Li 6.3106 -4.8312 2.6705
Li 9.8145 -5.7453 4.5780
Li 2.8098 -0.9386 1.3784
Li 10.9130 -9.1968 0.9061
Li 3.1810 -4.9893 -5.6355
Li 7.4091 -8.2827 -1.0014
Li 3.8397 -4.5674 -2.2524
Li 5.5864 -2.4519 -0.0561
Li 2.0825 -1.5378 -1.9637
Li 10.1857 -9.7960 -2.4359
```

Summary:
DFT total energy: -13.882 eV per atom
E_form (uncorrected): -2.39 eV/atom
M_tot: 0.00 μB/f.u.

=====

Li3SiBiO5 | SCAN | PBEsol geometry

Geometry as extended XYZ:
```
40
Lattice="5.2017 0.0000 0.0000 0.0000 5.4213 0.0000 0.0000 0.0000 16.2921" Properties=species:S:1:pos:R:3 pbc="T T T"
Li 0.0787 0.9504 7.8668
Li 5.1867 0.8812 15.0169
Li 2.5091 4.3170 11.3289
Li 2.6796 1.7603 16.0128
Li 2.5091 1.6064 13.1093
Li 2.5858 4.5401 1.2752
Li 5.1100 3.8149 3.1828
Li 5.1867 3.5919 9.4212
Li 2.6796 4.4710 8.4253
Li 0.0787 3.6610 0.2793
Li 5.1100 1.1043 4.9632
Li 2.5858 1.8294 6.8708
O 1.0291 1.9315 9.2564
O 0.8106 1.8309 0.4329
O 3.4115 0.8797 8.5789
O 3.2984 3.2573 9.9347
O 0.8106 4.5416 7.7131
O 5.0638 4.4513 5.1379
O 3.6299 3.4899 7.0357
O 3.1457 1.1448 5.0730
O 0.6975 2.1640 6.3573
O 0.5448 4.2765 11.2190
O 2.4630 0.9700 11.1542
O 3.6299 0.7792 1.1104
O 2.4630 3.6807 13.2840
O 5.0638 1.7406 3.0081
O 3.4115 3.5904 15.8592
O 0.5448 1.5658 13.2191
O 1.0291 4.6421 15.1817
O 3.1457 3.8555 3.0730
O 3.2984 0.5466 14.5034
O 0.6975 4.8747 1.7887
Si 2.6323 4.5090 14.7629
Si 0.0315 0.9123 1.5292
Si 2.6323 1.7983 9.6752
Si 0.0315 3.6230 6.6169
Bi 0.1475 3.6785 13.3308
Bi 2.7484 1.7428 2.9613
Bi 0.1475 0.9679 11.1073
Bi 2.7484 4.4535 5.1848
```

Summary:
DFT total energy: -14.900 eV per atom
E_form (uncorrected): -2.21 eV/atom
M_tot: 0.00 μB/f.u.

=====

LiSiBiO4 | SCAN | PBEsol geometry

Geometry as extended XYZ:
```
28
Lattice="5.7186 0.0000 0.0000 0.0000 7.0130 0.0000 0.0000 0.0000 8.7826" Properties=species:S:1:pos:R:3 pbc="T T T"
O 0.9534 5.2598 3.5149
O 1.4408 3.0672 1.2736
O 2.9326 5.2598 5.5418
O 1.9059 5.2598 7.9062
O 4.2778 3.9459 7.5090
O 3.8127 1.7533 0.8764
O 5.6453 5.2598 1.1504
O 4.2778 6.5737 7.5090
O 0.0733 1.7533 7.6322
O 4.3001 3.9459 3.1177
O 1.4185 3.0672 5.6649
O 1.4408 0.4394 1.2736
O 4.3001 6.5737 3.1177
O 2.7860 1.7533 3.2409
O 4.7652 1.7533 5.2677
O 1.4185 0.4394 5.6649
Bi 0.7482 5.2598 5.8068
Bi 3.6075 1.7533 7.3672
Bi 4.9703 1.7533 2.9758
Bi 2.1110 5.2598 1.4155
Li 2.8593 0.0000 4.3913
Li 2.8593 3.5065 4.3913
Li 0.0000 3.5065 0.0000
Li 0.0000 0.0000 0.0000
Si 0.5327 1.7533 6.0395
Si 2.3266 1.7533 1.6481
Si 5.1859 5.2598 2.7432
Si 3.3920 5.2598 7.1345
```

Summary:
DFT total energy: -18.785 eV per atom
Offset from the most stable computed form: 4 meV/atom
E_form (uncorrected): -2.23 eV/atom
M_tot: 0.00 μB/f.u.

=====

LiSi2Bi3O9 | SCAN | PBEsol geometry

Geometry as extended XYZ:
```
60
Lattice="-3.8931 -2.0320 6.1827 -4.2396 -8.3366 -5.4095 8.1091 -6.0410 2.9545" Properties=species:S:1:pos:R:3 pbc="T T T"
O -0.4636 -12.7170 3.7662
O -3.7105 -7.4403 3.6013
O -3.4594 -2.8433 4.7378
O 1.5681 -10.3149 3.6961
O 0.2735 -3.6212 2.4936
O -5.8451 -7.3459 1.8554
O -0.2971 -12.7885 1.2341
O 0.5756 -8.1973 -0.9634
O -1.6154 -4.9597 3.6335
O 0.4400 -3.6926 -0.0385
O 3.4358 -13.5664 -1.0101
O 4.0949 -10.1278 4.7097
O -0.9654 -11.0748 -0.6548
O -1.5917 -6.0947 0.0316
O 4.5113 -5.0871 4.1227
O -4.1185 -6.2819 -0.9820
O -2.6308 -12.0187 2.2606
O -2.4808 -10.1040 -4.0472
O -2.4159 -8.3374 -1.3234
O 0.9417 -5.3348 4.3825
O 3.3370 -8.5905 2.7063
O 1.5918 -11.4500 0.0941
O 2.4572 -6.3056 7.7748
O -3.3606 -7.8192 1.0214
O 3.6868 -8.9693 0.1264
O 0.8816 -7.0509 1.9019
O 2.3923 -8.0722 5.0511
O -0.9052 -9.3587 1.8258
O 2.6071 -4.3910 1.4671
O 2.0183 -14.6032 1.8600
O -4.5349 -11.3225 -0.3950
O -4.5140 -9.6883 2.2942
O -2.0420 -1.8064 1.8677
O -0.5992 -8.2124 4.6910
O 5.8214 -9.0637 1.8723
O 4.4904 -6.7213 1.4335
Bi 1.8371 -12.5438 2.7728
Bi -2.6363 -10.3470 0.7610
Bi 4.4890 -7.2492 6.3391
Bi -4.5126 -9.1604 -2.6115
Bi 2.6127 -6.0627 2.9667
Bi -3.8475 -4.8679 4.1034
Bi -0.6310 -9.3085 -2.3639
Bi -1.8607 -3.8658 0.9549
Bi 3.8239 -11.5417 -0.3757
Bi 1.1452 -9.0283 0.9115
Bi 0.6074 -7.1011 6.0916
Bi -1.1688 -7.3814 2.8161
Si 2.7915 -9.3483 4.0867
Si 4.4042 -8.3630 1.4421
Si -4.4279 -8.0467 2.2856
Si -0.1875 -4.2129 3.9817
Si 1.3711 -3.3341 1.2680
Si -2.8151 -7.0614 -0.3590
Si -1.3947 -13.0756 2.4596
Si 0.1639 -12.1967 -0.2540
Li 0.1598 -6.2653 -0.8129
Li 6.1586 -5.4627 3.1451
Li -0.1834 -10.1444 4.5406
Li -6.1822 -10.9469 0.5826
```

Summary:
DFT total energy: -22.960 eV per atom
E_form (uncorrected): -2.01 eV/atom
M_tot: 0.00 μB/f.u.

=====

LiSiBiO4 | SCAN | PBEsol geometry

Geometry as extended XYZ:
```
56
Lattice="8.0765 0.0000 0.0000 0.0000 10.0132 0.0000 0.0000 -5.0066 8.6717" Properties=species:S:1:pos:R:3 pbc="T T T"
O 5.1093 7.1084 0.4937
O 6.5408 -1.4806 5.2806
O 6.0409 3.9339 4.4726
O 1.0711 3.1267 6.4029
O 0.0853 1.4742 2.4610
O 2.5026 3.8329 3.9225
O 2.4114 0.9264 1.4703
O 2.0027 0.8338 7.5012
O 2.4114 5.8167 7.1343
O 2.4114 8.2767 0.0671
O 4.1235 3.5324 6.2106
O 5.1093 1.8799 2.2688
O 6.4496 -3.2701 8.6046
O 6.5408 0.3069 7.3136
O 1.0711 -1.0248 2.7624
O 0.0853 7.1448 0.0461
O 0.3599 5.0066 2.8906
O 6.0409 4.1728 1.1705
O 6.4496 4.0802 7.2014
O 2.0027 -1.9065 5.6432
O 4.1235 -2.1382 8.6255
O 0.0853 6.4008 6.1645
O 4.1235 -1.3942 2.5072
O 5.1093 6.0314 5.9092
O 2.0027 1.0727 4.1990
O 6.5408 1.1737 4.7492
O 2.5026 6.4871 3.3910
O 2.5026 4.6997 1.3581
O 4.3982 0.0000 5.7811
O 6.0409 6.9131 3.0285
O 6.4496 -0.8101 1.5374
O 1.0711 -2.1018 8.1780
Li 6.3715 5.0066 2.8906
Li 2.4268 7.9202 1.9685
Li 2.4268 2.7512 0.8284
Li 2.4268 4.3484 5.8749
Li 2.3333 0.0000 5.7811
Li 6.4651 2.2554 7.8433
Li 6.4651 0.6582 2.7968
Li 6.4651 -2.9136 6.7032
Bi 4.1122 0.1808 8.4399
Bi 4.1122 2.2122 4.2952
Bi 0.0739 4.8258 0.2318
Bi 4.1122 -2.3930 4.6083
Bi 3.6991 0.0000 0.0000
Bi 0.0739 2.7944 4.3765
Bi 7.7373 0.0000 0.0000
Bi 0.0739 7.3995 4.0634
Si 5.4652 7.9235 1.8497
Si 2.0274 5.0066 2.8906
Si 1.4269 -2.9169 6.8220
Si 6.0656 0.0000 5.7811
Si 1.4269 0.5571 2.7346
Si 1.4269 2.3599 7.7868
Si 5.4652 2.6467 0.8848
Si 5.4652 4.4495 5.9371
```

Summary:
DFT total energy: -18.765 eV per atom
Offset from the most stable computed form: 24 meV/atom
E_form (uncorrected): -2.21 eV/atom
M_tot: 0.00 μB/f.u.

=====

LiSiBiO4 | SCAN | PBEsol geometry

Geometry as extended XYZ:
```
56
Lattice="-1.5075 4.4989 -2.2916 -9.8074 -2.6068 1.3339 0.0074 6.5784 12.9101" Properties=species:S:1:pos:R:3 pbc="T T T"
O -5.6774 3.4612 8.0503
O -2.3316 6.3922 3.0454
O -9.4564 5.5146 4.9681
O -1.8478 5.9552 12.8703
O -1.6642 7.4220 6.0298
O -6.1203 4.9727 6.0288
O -8.2499 9.1235 11.2595
O -6.2684 5.9795 8.5669
O -0.7930 5.0121 6.0057
O -5.0396 2.0166 2.4544
O -1.0566 6.3635 8.3683
O -2.7715 3.3908 4.0933
O -4.4790 5.2172 2.0795
O -8.0910 3.3284 4.1282
O -7.4136 1.3718 1.4676
O -9.6455 -0.8818 2.1345
O -6.8279 3.7953 10.9365
O -3.1813 8.8504 8.3586
O -5.9961 1.3904 5.5962
O -10.2514 1.6326 2.6531
O -8.9738 3.8871 12.4568
O -5.3094 8.8890 9.9059
O -5.1905 0.5550 0.1483
O -3.2149 6.5612 10.6092
O -8.1256 0.1621 4.6574
O -5.6323 3.0791 0.1139
O -8.5344 6.4988 10.6441
O -3.0543 2.3462 6.5788
O -2.4988 2.6420 0.8175
O -10.5178 0.5156 0.1714
O -8.8105 4.2887 8.1131
O -3.8956 5.5590 7.4630
Li -7.7573 5.1312 9.5557
Li -9.7510 0.7635 7.7003
Li -6.3017 6.4075 4.8224
Li -1.5529 10.9580 10.6321
Li -2.9623 6.7590 8.7235
Li -5.0022 5.3140 13.5100
Li -8.3452 1.6867 3.1801
Li -3.5502 3.3144 2.3479
Bi -4.9805 0.3426 3.7903
Bi -9.7628 2.3597 10.8964
Bi -7.5989 3.2603 6.4162
Bi -6.3271 8.0442 7.9978
Bi -2.9626 5.3617 5.3428
Bi -1.5448 6.0271 0.8918
Bi -8.3413 6.3512 12.9728
Bi -3.7050 8.4526 11.8993
Si -2.6171 5.3944 11.5626
Si -8.6885 4.7859 3.7451
Si -2.4638 2.1469 5.0862
Si -8.8418 8.0333 10.2215
Si -5.8860 1.7267 1.0458
Si -5.4234 5.0098 7.5037
Si -10.3666 3.8240 8.1108
Si -0.9429 2.9125 0.4387
```

Summary:
DFT total energy: -18.731 eV per atom
Offset from the most stable computed form: 59 meV/atom
E_form (uncorrected): -2.17 eV/atom
M_tot: 0.00 μB/f.u.

=====

LiSiBiO4 | SCAN | PBEsol geometry

Geometry as extended XYZ:
```
14
Lattice="5.0496 0.0000 0.0000 -2.5248 4.3731 0.0000 0.0000 0.0000 8.6140" Properties=species:S:1:pos:R:3 pbc="T T T"
Bi 0.0000 0.0000 7.0649
Bi 0.0000 0.0000 2.7579
Li 2.5248 1.4577 8.1468
Li 0.0000 2.9154 3.8398
Si 2.5248 1.4577 4.7038
Si 0.0000 2.9154 0.3968
O 0.6519 1.5098 8.4523
O 3.4161 0.1903 4.1454
O 0.9815 1.3195 4.1454
O 2.5248 1.4577 6.3126
O 0.8913 4.1828 8.4523
O -1.5433 3.0536 8.4523
O 3.1767 2.8633 4.1454
O 0.0000 2.9154 2.0056
```

Summary:
DFT total energy: -18.764 eV per atom
Offset from the most stable computed form: 25 meV/atom
E_form (uncorrected): -2.21 eV/atom
M_tot: 0.00 μB/f.u.

=====

Li3Si2Bi3O10 | SCAN | PBEsol geometry

Geometry as extended XYZ:
```
36
Lattice="-3.0573 -1.5818 4.0839 2.2930 -6.4362 -0.7764 9.6723 2.5128 7.7351" Properties=species:S:1:pos:R:3 pbc="T T T"
O 1.2573 -2.3107 0.8244
O 9.1752 -2.6413 6.7047
O 8.3932 -5.1151 7.2947
O 1.3398 -0.1480 4.1779
O 1.1073 -5.4234 3.9377
O 5.9969 -0.7831 10.7115
O 6.7265 -2.8312 4.4776
O 3.4477 -1.3958 3.1390
O 5.0349 -5.0451 6.4090
O 6.6815 -0.7313 6.2602
O 1.4477 -2.8146 4.2529
O 2.2243 -6.3973 0.1038
O -1.2946 -2.1097 3.0471
O 3.0785 -1.4640 5.8404
O 4.9013 -1.2418 8.1581
O 2.4378 -5.6241 6.4115
O 2.6673 -4.2949 2.1143
O 9.0489 -3.3914 9.3239
O 4.8734 0.9983 4.7119
O 6.8182 -3.0580 7.9395
Li 3.9512 0.2041 6.3492
Li 7.9885 -4.0427 10.8146
Li 3.2288 -2.4324 1.5156
Li 8.2357 -1.6551 5.3254
Li 1.1348 -6.7216 1.7978
Li 1.9596 -1.9512 7.3509
Si 3.7834 -5.5321 7.3601
Si 8.4236 -3.5410 7.8189
Si 2.3855 -1.4237 4.3583
Si -2.5002 -2.7257 3.9827
Bi 5.3427 -2.6309 6.2634
Bi 6.9319 1.3575 5.7164
Bi 3.0833 -4.6001 4.2625
Bi 0.4408 -3.7026 2.4182
Bi 4.1250 -5.5948 1.1618
Bi 6.9762 -0.6962 8.4494
```

Summary:
DFT total energy: -20.128 eV per atom
E_form (uncorrected): -2.06 eV/atom
M_tot: 0.00 μB/f.u.

=====

LiSiBiO4 | SCAN | PBEsol geometry

Geometry as extended XYZ:
```
42
Lattice="8.5329 0.0156 0.0211 -1.9297 8.3118 0.0211 -1.9297 -2.4336 7.9476" Properties=species:S:1:pos:R:3 pbc="T T T"
Li 3.9928 2.3474 7.6700
Li -0.8770 0.4938 3.4828
Li 0.6807 3.5465 0.3199
Li 5.5504 5.4000 4.5071
Li 3.2980 -0.1287 1.5000
Li 1.3755 6.0225 6.4899
O 5.6588 7.3152 2.1404
O -0.2196 7.5144 2.4534
O -0.8049 2.8311 7.3897
O -1.4014 5.4837 7.6210
O 4.5010 6.0790 0.0861
O 1.7334 -1.2074 5.9406
O 6.0748 0.4101 0.3689
O 3.4606 1.9304 5.7252
O -0.9853 -1.4214 5.8495
O -1.5707 5.2588 3.1034
O 7.3667 1.9016 2.1564
O 1.0908 4.3454 5.3299
O 4.8931 -1.6206 5.5365
O 5.4784 3.0627 0.6002
O -2.6932 3.9922 5.8335
O 0.1724 -0.1852 7.9038
O 2.9400 7.1012 2.0493
O 6.2441 0.6350 4.8865
O 1.2129 3.9634 2.2647
O 3.9824 4.4864 3.5346
O 3.5826 1.5484 2.6600
O 5.8328 -0.0739 7.4892
O 0.6911 1.4074 4.4553
O -1.1594 5.9677 0.5007
Si -1.9649 3.9521 7.2748
Si 6.6383 1.9417 0.7151
Si 4.2959 7.2494 1.1804
Si 6.0794 -0.5948 5.9236
Si -1.4060 6.4887 2.0663
Si 0.3775 -1.3556 6.8095
Bi 2.2287 5.6542 3.6652
Bi 2.4448 0.2396 4.3247
Bi 4.9973 2.4807 4.3866
Bi -0.3239 3.4131 3.6033
Bi 1.2764 2.5877 6.4842
Bi 3.3970 3.3061 1.5057
```

Summary:
DFT total energy: -18.744 eV per atom
Offset from the most stable computed form: 45 meV/atom
E_form (uncorrected): -2.19 eV/atom
M_tot: 0.00 μB/f.u.

=====

Look up the M_tot of the eighth one.
0.00 μB/f.u.

=====

Look up the DFT total energy of the fifth one.
-18.765 eV per atom